Entry 1:
DFT (SCAN) results for LiCa2ScAl at its PBEsol-relaxed geometry. Values from VASP.

Energy relative to the elements   0.46 eV per atom

The structure in Quantum ESPRESSO input format:
```
&SYSTEM
  ibrav = 0, nat = 5, ntyp = 4
/
ATOMIC_SPECIES
Ca 40.08 Ca.upf
Al 26.98 Al.upf
Li 6.94 Li.upf
Sc 44.96 Sc.upf
CELL_PARAMETERS angstrom
-1.096 4.731 0.507
-5.280 -1.003 -2.060
-1.892 -1.010 5.341
ATOMIC_POSITIONS angstrom
Ca -0.946 -0.505 2.671
Ca -2.640 -0.501 -1.030
Al 0.000 0.000 0.000
Li -0.548 2.366 0.253
Sc -4.134 1.359 1.894
```


Entry 2:
DFT (SCAN) results for PtCl3 at its PBEsol-relaxed geometry. Values from VASP.

Raw total energy   -95.93 eV/f.u.

The structure in Quantum ESPRESSO input format:
```
&SYSTEM
  ibrav = 0, nat = 8, ntyp = 2
/
ATOMIC_SPECIES
Cl 35.45 Cl.upf
Pt 195.08 Pt.upf
CELL_PARAMETERS angstrom
-0.510 -3.397 -0.585
1.738 0.532 -4.608
9.431 -1.988 3.328
ATOMIC_POSITIONS angstrom
Cl 0.486 -2.291 -2.744
Cl 3.762 -2.963 -1.585
Cl 6.645 -3.571 -0.568
Cl 4.589 -1.834 1.520
Cl 1.313 -1.161 0.361
Cl 7.861 -2.542 2.672
Pt -0.384 -2.556 -0.440
Pt 5.458 -1.568 -0.784
```


Entry 3:
DFT (SCAN) results for Mg3CrIn at its PBEsol-relaxed geometry. Values from VASP.

Energy relative to the elements   0.58 eV per atom

The structure in Quantum ESPRESSO input format:
```
&SYSTEM
  ibrav = 0, nat = 5, ntyp = 3
/
ATOMIC_SPECIES
In 114.82 In.upf
Mg 24.30 Mg.upf
Cr 52.00 Cr.upf
CELL_PARAMETERS angstrom
5.246 0.000 0.000
0.000 5.246 0.000
0.000 0.000 5.246
ATOMIC_POSITIONS angstrom
In 0.000 0.000 0.000
Mg 0.000 2.623 0.000
Mg 0.000 0.000 2.623
Mg 2.623 0.000 0.000
Cr 2.623 2.623 2.623
```